# RbPuGe2Br8 GGA-PBE optimized geometry
# N(E_F) = 11.0 states/eV per cell
# energy = -4.2080 eV/atom
# ΔE_f (raw) = -1.048 eV per atom
# total magnetic moment = 0.417 μB/atom
data_RbPuGe2Br8
_space_group_name_H-M_alt 'P -1'
_space_group_IT_number 2
_cell_length_a 6.7957
_cell_length_b 7.3204
_cell_length_c 9.8366
_cell_angle_alpha 92.98
_cell_angle_beta 90.40
_cell_angle_gamma 95.56
loop_
_space_group_symop_operation_xyz
'x,y,z'
'-x,-y,-z'
loop_
_atom_site_label
_atom_site_type_symbol
_atom_site_fract_x
_atom_site_fract_y
_atom_site_fract_z
Rb1 Rb 0.0000 0.0000 0.0000
Pu1 Pu 0.0000 0.0000 0.5000
Ge1 Ge 0.4469 0.5523 0.2811
Br1 Br 0.2328 0.1815 0.2988
Br2 Br 0.2347 0.6818 0.4751
Br3 Br 0.2623 0.6270 0.0801
Br4 Br 0.2733 0.1366 0.7165